Record 1
Here is a geometry-optimized K2TbAsSe4 structure from Alexandria via LeMat-Bulk. Energies are from PBE-GGA.

Total energy (eV per atom): -4.276
Symmetry: Imma

Geometry as extended XYZ:
```
16
Lattice="8.601 -0.001 -0.112 -0.007 8.601 -0.112 -4.278 -4.281 6.192" Properties=species:S:1:pos:R:3 pbc="T T T"
K -2.139 -2.141 3.096
K 2.162 -2.141 3.040
K 4.301 0.000 -0.056
K 0.019 0.019 6.080
Tb 6.459 2.159 2.928
Tb -0.004 4.301 -0.056
Se 0.071 0.274 2.805
Se 2.432 2.231 5.789
Se 6.724 2.081 0.031
Se 4.245 4.046 3.164
Se -2.408 2.238 5.937
Se 0.074 4.035 2.841
Se 4.242 0.284 3.127
Se 1.885 2.088 0.180
As 4.323 -4.282 6.080
As 2.158 2.160 2.984
```

Record 2
Here is a geometry-optimized KTcAs2Se structure from Alexandria via LeMat-Bulk. Energies are from PBE-GGA.

Total energy (eV per atom): -2.592
Symmetry: P4/mmm

Geometry as extended XYZ:
```
5
Lattice="-0.557 2.359 4.558 -4.541 -2.363 0.668 2.445 -4.025 2.382" Properties=species:S:1:pos:R:3 pbc="T T T"
As -0.279 1.179 2.279
As -2.270 -1.182 0.334
Se 1.222 -2.013 1.191
Tc -1.327 -2.015 3.804
K 0.000 0.000 0.000
```

Record 3
Here is a geometry-optimized KTcAs2Se structure from Alexandria via LeMat-Bulk. Energies are from PBE-GGA.

Total energy (eV per atom): -4.860
Symmetry: P4/mmm

Geometry as extended XYZ:
```
5
Lattice="4.770 0.000 0.000 0.000 4.770 0.000 0.000 0.000 5.614" Properties=species:S:1:pos:R:3 pbc="T T T"
As 2.385 0.000 0.000
As 0.000 2.385 0.000
Tc 0.000 0.000 0.000
Se 0.000 0.000 2.807
K 2.385 2.385 2.807
```

Record 4
Here is a geometry-optimized KTe2As2Se6 structure from Alexandria via LeMat-Bulk. Energies are from PBE-GGA.

Total energy (eV per atom): -3.584
Symmetry: P-1

Geometry as extended XYZ:
```
11
Lattice="8.434 0.403 -0.710 4.724 8.607 -0.393 -1.076 -4.966 5.674" Properties=species:S:1:pos:R:3 pbc="T T T"
As 8.296 0.984 0.424
As 3.786 3.060 4.147
Se 5.221 1.318 5.030
Se 5.324 4.722 3.293
Se 1.761 0.121 3.840
Se 6.757 -0.678 1.279
Se 10.321 3.923 0.731
Se 6.861 2.727 -0.459
Te 4.058 4.958 0.499
Te 8.023 -0.913 4.073
K 3.679 -2.281 2.482
```